# CaTiNb2O8 (PBE, relaxed)
# ΔE_f (raw) in eV per atom: -2.75
# V in Å³/cell: 303.1
# Total magnetization in Bohr magnetons per cell: 0.00
data_CaTiNb2O8
_symmetry_space_group_name_H-M 'C 1 2/m 1'
_symmetry_Int_Tables_number 12
_cell_length_a 7.0894
_cell_length_b 6.6206
_cell_length_c 6.4597
_cell_angle_alpha 90.00
_cell_angle_beta 91.73
_cell_angle_gamma 90.00
loop_
_symmetry_equiv_pos_as_xyz
'x,y,z'
'-x,-y,-z'
'-x,y,-z'
'x,-y,z'
'x+1/2,y+1/2,z'
'-x+1/2,-y+1/2,-z'
'-x+1/2,y+1/2,-z'
'x+1/2,-y+1/2,z'
loop_
_atom_site_label
_atom_site_fract_x
_atom_site_fract_y
_atom_site_fract_z
Ca1 0.0000 0.0000 0.0000
Ti1 0.0000 0.0000 0.5000
Nb1 0.0356 0.5000 0.2543
O1 0.0083 0.2062 0.7143
O2 0.1772 0.5000 0.0109
O3 0.2017 0.5000 0.4959

***

# Ca2TiNb2O8 (PBE, relaxed)
# ΔE_f (raw) in eV per atom: -2.70
# V in Å³/cell: 650.1
# Total magnetization in Bohr magnetons per cell: 8.18
data_Ca2TiNb2O8
_symmetry_space_group_name_H-M 'C 1 2/c 1'
_symmetry_Int_Tables_number 15
_cell_length_a 18.8438
_cell_length_b 6.2404
_cell_length_c 5.5310
_cell_angle_alpha 90.00
_cell_angle_beta 91.62
_cell_angle_gamma 90.00
loop_
_symmetry_equiv_pos_as_xyz
'x,y,z'
'-x,-y,-z'
'-x,y,-z+1/2'
'x,-y,z+1/2'
'x+1/2,y+1/2,z'
'-x+1/2,-y+1/2,-z'
'-x+1/2,y+1/2,-z+1/2'
'x+1/2,-y+1/2,z+1/2'
loop_
_atom_site_label
_atom_site_fract_x
_atom_site_fract_y
_atom_site_fract_z
Ca1 0.2058 0.1934 0.2410
Ti1 0.0000 0.1187 0.2500
Nb1 0.1099 0.3521 0.7717
O1 0.0525 0.1412 0.5813
O2 0.0690 0.3482 0.1178
O3 0.1792 0.4484 0.5102
O4 0.1836 0.1433 0.8419

***

# Ca2NbTlO6 (PBE, relaxed)
# ΔE_f (raw) in eV per atom: -2.23
# V in Å³/cell: 159.6
# Total magnetization in Bohr magnetons per cell: 0.08
data_Ca2NbTlO6
_symmetry_space_group_name_H-M 'P 4 m m'
_symmetry_Int_Tables_number 99
_cell_length_a 5.4979
_cell_length_b 5.4979
_cell_length_c 5.2807
_cell_angle_alpha 90.00
_cell_angle_beta 90.00
_cell_angle_gamma 90.00
loop_
_symmetry_equiv_pos_as_xyz
'x,y,z'
'-y,x,z'
'-x,-y,z'
'y,-x,z'
'-x,y,z'
'y,x,z'
'x,-y,z'
'-y,-x,z'
loop_
_atom_site_label
_atom_site_fract_x
_atom_site_fract_y
_atom_site_fract_z
Ca1 0.0000 0.5000 0.0000
Nb1 0.0000 0.0000 0.6171
Tl1 0.5000 0.5000 0.5638
O1 0.0000 0.0000 0.2652
O2 0.2375 0.2375 0.7524
O3 0.5000 0.5000 0.1711

***

# Ca2NbTl2O6 (PBE, relaxed)
# ΔE_f (raw) in eV per atom: -2.06
# V in Å³/cell: 370.2
# Total magnetization in Bohr magnetons per cell: 0.00
data_Ca2NbTl2O6
_symmetry_space_group_name_H-M 'C 1 2/m 1'
_symmetry_Int_Tables_number 12
_cell_length_a 5.9614
_cell_length_b 10.1293
_cell_length_c 6.3631
_cell_angle_alpha 90.00
_cell_angle_beta 105.51
_cell_angle_gamma 90.00
loop_
_symmetry_equiv_pos_as_xyz
'x,y,z'
'-x,-y,-z'
'-x,y,-z'
'x,-y,z'
'x+1/2,y+1/2,z'
'-x+1/2,-y+1/2,-z'
'-x+1/2,y+1/2,-z'
'x+1/2,-y+1/2,z'
loop_
_atom_site_label
_atom_site_fract_x
_atom_site_fract_y
_atom_site_fract_z
Ca1 0.0000 0.1645 0.0000
Nb1 0.0000 0.5000 0.0000
Tl1 0.0000 0.3344 0.5000
O1 0.1960 0.3528 0.1763
O2 0.2265 0.5000 0.8087

***

# CaNbTlO4 (PBE, relaxed)
# ΔE_f (raw) in eV per atom: -2.30
# V in Å³/cell: 290.7
# Total magnetization in Bohr magnetons per cell: 0.00
data_CaNbTlO4
_symmetry_space_group_name_H-M 'P 1 21/m 1'
_symmetry_Int_Tables_number 11
_cell_length_a 6.3132
_cell_length_b 6.2924
_cell_length_c 7.5137
_cell_angle_alpha 90.00
_cell_angle_beta 103.15
_cell_angle_gamma 90.00
loop_
_symmetry_equiv_pos_as_xyz
'x,y,z'
'-x,-y,-z'
'-x,y+1/2,-z'
'x,-y+1/2,z'
loop_
_atom_site_label
_atom_site_fract_x
_atom_site_fract_y
_atom_site_fract_z
Ca1 0.1798 0.2500 0.0576
Nb1 0.2974 0.7500 0.8574
Tl1 0.2869 0.2500 0.5903
O1 0.0984 0.5219 0.8422
O2 0.4882 0.7500 0.6987
O3 0.4926 0.7500 0.0833

***

# CaNb2Tl2O7 (PBE, relaxed)
# ΔE_f (raw) in eV per atom: -2.21
# V in Å³/cell: 376.9
# Total magnetization in Bohr magnetons per cell: 0.00
data_CaNb2Tl2O7
_symmetry_space_group_name_H-M 'C 1 2/m 1'
_symmetry_Int_Tables_number 12
_cell_length_a 5.7151
_cell_length_b 5.6678
_cell_length_c 11.8151
_cell_angle_alpha 90.00
_cell_angle_beta 100.04
_cell_angle_gamma 90.00
loop_
_symmetry_equiv_pos_as_xyz
'x,y,z'
'-x,-y,-z'
'-x,y,-z'
'x,-y,z'
'x+1/2,y+1/2,z'
'-x+1/2,-y+1/2,-z'
'-x+1/2,y+1/2,-z'
'x+1/2,-y+1/2,z'
loop_
_atom_site_label
_atom_site_fract_x
_atom_site_fract_y
_atom_site_fract_z
Ca1 0.0000 0.0000 0.0000
Nb1 0.0838 0.5000 0.1781
Tl1 0.1928 0.0000 0.3903
O1 0.0000 0.5000 0.0000
O2 0.1145 0.5000 0.3413
O3 0.1969 0.2542 0.8415

***

# CaUNbO6 (PBE, relaxed)
# ΔE_f (raw) in eV per atom: -2.98
# V in Å³/cell: 266.3
# Total magnetization in Bohr magnetons per cell: 2.06
data_CaUNbO6
_symmetry_space_group_name_H-M 'P -3 1 c'
_symmetry_Int_Tables_number 163
_symmetry_space_group_name_Hall '-P 3 2c'
_cell_length_a 5.5986
_cell_length_b 5.5986
_cell_length_c 9.8087
_cell_angle_alpha 90.00
_cell_angle_beta 90.00
_cell_angle_gamma 120.00
loop_
_atom_site_label
_atom_site_fract_x
_atom_site_fract_y
_atom_site_fract_z
Ca1 0.0000 0.0000 0.0000
U1 0.3333 0.6667 0.2500
Nb1 0.3333 0.6667 0.7500
O1 0.0170 0.3708 0.6399